Arrangement i

VASP calculation (PBEsol) on an optimized crystal structure of K2NaCl3.

The value obtained for the total magnetic moment is 0.00 μB per formula unit.

CIF file:
```
data_K2NaCl3
_chemical_formula_sum 'K2 Na1 Cl3'
_space_group_name_H-M_alt 'P 1'
_space_group_IT_number 1
_cell_length_a 9.510
_cell_length_b 9.510
_cell_length_c 9.510
_cell_angle_alpha 153.85
_cell_angle_beta 153.85
_cell_angle_gamma 37.32
loop_
_space_group_symop_operation_xyz
'x,y,z'
loop_
_atom_site_label
_atom_site_type_symbol
_atom_site_fract_x
_atom_site_fract_y
_atom_site_fract_z
K1 K 0.166 0.166 0.000
K2 K 0.834 0.834 0.000
Na1 Na 0.500 0.500 0.000
Cl1 Cl 0.000 0.000 0.000
Cl2 Cl 0.342 0.342 0.000
Cl3 Cl 0.658 0.658 0.000
```



Arrangement ii

VASP calculation (PBEsol) on an optimized crystal structure of K2NaCl3.

The value obtained for the total magnetic moment is 0.00 μB per formula unit.

CIF file:
```
data_K2NaCl3
_chemical_formula_sum 'K2 Na1 Cl3'
_space_group_name_H-M_alt 'P 1'
_space_group_IT_number 1
_cell_length_a 4.250
_cell_length_b 4.250
_cell_length_c 10.485
_cell_angle_alpha 90.00
_cell_angle_beta 90.00
_cell_angle_gamma 120.00
loop_
_space_group_symop_operation_xyz
'x,y,z'
loop_
_atom_site_label
_atom_site_type_symbol
_atom_site_fract_x
_atom_site_fract_y
_atom_site_fract_z
K1 K 0.333 0.667 0.178
K2 K 0.667 0.333 0.822
Na1 Na 0.000 0.000 0.500
Cl1 Cl 0.000 0.000 0.000
Cl2 Cl 0.333 0.667 0.644
Cl3 Cl 0.667 0.333 0.356
```



Winner for stability: arrangement ii



Arrangement i

VASP calculation (PBEsol) on an optimized crystal structure of KP2Cl.

The value obtained for the total magnetic moment is 0.00 μB per formula unit.

CIF file:
```
data_KP2Cl
_chemical_formula_sum 'K1 P2 Cl1'
_space_group_name_H-M_alt 'P 1'
_space_group_IT_number 1
_cell_length_a 3.031
_cell_length_b 3.031
_cell_length_c 8.818
_cell_angle_alpha 90.00
_cell_angle_beta 90.00
_cell_angle_gamma 105.21
loop_
_space_group_symop_operation_xyz
'x,y,z'
loop_
_atom_site_label
_atom_site_type_symbol
_atom_site_fract_x
_atom_site_fract_y
_atom_site_fract_z
K1 K 0.000 0.000 0.000
P1 P 0.500 0.500 0.287
P2 P 0.500 0.500 0.713
Cl1 Cl 0.000 0.000 0.500
```



Arrangement ii

VASP calculation (PBEsol) on an optimized crystal structure of KP2Cl.

The value obtained for the total magnetic moment is 0.00 μB per formula unit.

CIF file:
```
data_KP2Cl
_chemical_formula_sum 'K1 P2 Cl1'
_space_group_name_H-M_alt 'P 1'
_space_group_IT_number 1
_cell_length_a 8.109
_cell_length_b 8.109
_cell_length_c 8.109
_cell_angle_alpha 25.54
_cell_angle_beta 25.54
_cell_angle_gamma 25.54
loop_
_space_group_symop_operation_xyz
'x,y,z'
loop_
_atom_site_label
_atom_site_type_symbol
_atom_site_fract_x
_atom_site_fract_y
_atom_site_fract_z
K1 K 0.000 0.000 0.000
P1 P 0.493 0.493 0.493
P2 P 0.777 0.777 0.777
Cl1 Cl 0.248 0.248 0.248
```



Arrangement iii

VASP calculation (PBEsol) on an optimized crystal structure of KP2Cl.

The value obtained for the total magnetic moment is 0.00 μB per formula unit.

CIF file:
```
data_KP2Cl
_chemical_formula_sum 'K1 P2 Cl1'
_space_group_name_H-M_alt 'P 1'
_space_group_IT_number 1
_cell_length_a 4.851
_cell_length_b 4.851
_cell_length_c 4.851
_cell_angle_alpha 60.00
_cell_angle_beta 60.00
_cell_angle_gamma 60.00
loop_
_space_group_symop_operation_xyz
'x,y,z'
loop_
_atom_site_label
_atom_site_type_symbol
_atom_site_fract_x
_atom_site_fract_y
_atom_site_fract_z
K1 K 0.000 0.000 0.000
P1 P 0.500 0.500 0.500
P2 P 0.750 0.750 0.750
Cl1 Cl 0.250 0.250 0.250
```



Winner for stability: arrangement ii



Arrangement i

VASP calculation (PBEsol) on an optimized crystal structure of K2PCl.

The value obtained for the total magnetic moment is 2.00 μB per formula unit.

CIF file:
```
data_K2PCl
_chemical_formula_sum 'K2 P1 Cl1'
_space_group_name_H-M_alt 'P 1'
_space_group_IT_number 1
_cell_length_a 5.588
_cell_length_b 5.588
_cell_length_c 5.588
_cell_angle_alpha 124.14
_cell_angle_beta 123.77
_cell_angle_gamma 83.27
loop_
_space_group_symop_operation_xyz
'x,y,z'
loop_
_atom_site_label
_atom_site_type_symbol
_atom_site_fract_x
_atom_site_fract_y
_atom_site_fract_z
K1 K 0.249 0.249 0.000
K2 K 0.751 0.751 0.000
P1 P 0.500 0.000 0.500
Cl1 Cl 0.000 0.500 0.500
```



Arrangement ii

VASP calculation (PBEsol) on an optimized crystal structure of K2PCl.

The value obtained for the total magnetic moment is 0.00 μB per formula unit.

CIF file:
```
data_K2PCl
_chemical_formula_sum 'K2 P1 Cl1'
_space_group_name_H-M_alt 'P 1'
_space_group_IT_number 1
_cell_length_a 3.413
_cell_length_b 3.413
_cell_length_c 8.622
_cell_angle_alpha 90.00
_cell_angle_beta 90.00
_cell_angle_gamma 90.00
loop_
_space_group_symop_operation_xyz
'x,y,z'
loop_
_atom_site_label
_atom_site_type_symbol
_atom_site_fract_x
_atom_site_fract_y
_atom_site_fract_z
K1 K 0.000 0.000 0.224
K2 K 0.000 0.000 0.776
P1 P 0.500 0.500 0.500
Cl1 Cl 0.500 0.500 0.000
```



Arrangement iii

VASP calculation (PBEsol) on an optimized crystal structure of K2PCl.

The value obtained for the total magnetic moment is 2.00 μB per formula unit.

CIF file:
```
data_K2PCl
_chemical_formula_sum 'K4 P2 Cl2'
_space_group_name_H-M_alt 'P 1'
_space_group_IT_number 1
_cell_length_a 7.171
_cell_length_b 7.171
_cell_length_c 7.171
_cell_angle_alpha 109.44
_cell_angle_beta 109.44
_cell_angle_gamma 109.53
loop_
_space_group_symop_operation_xyz
'x,y,z'
loop_
_atom_site_label
_atom_site_type_symbol
_atom_site_fract_x
_atom_site_fract_y
_atom_site_fract_z
K1 K 0.099 0.125 0.474
K2 K 0.375 0.901 0.026
K3 K 0.651 0.625 0.526
K4 K 0.875 0.349 0.974
P1 P 0.250 0.750 0.500
P2 P 0.500 0.500 0.000
Cl1 Cl 0.000 0.000 0.000
Cl2 Cl 0.750 0.250 0.500
```



Winner for stability: arrangement ii



Arrangement i

VASP calculation (PBEsol) on an optimized crystal structure of KPbCl.

The value obtained for the total magnetic moment is 0.00 μB per formula unit.

CIF file:
```
data_KPbCl
_chemical_formula_sum 'K1 Pb1 Cl1'
_space_group_name_H-M_alt 'P 1'
_space_group_IT_number 1
_cell_length_a 7.796
_cell_length_b 7.796
_cell_length_c 7.796
_cell_angle_alpha 153.75
_cell_angle_beta 153.75
_cell_angle_gamma 37.46
loop_
_space_group_symop_operation_xyz
'x,y,z'
loop_
_atom_site_label
_atom_site_type_symbol
_atom_site_fract_x
_atom_site_fract_y
_atom_site_fract_z
K1 K 0.000 0.000 0.000
Pb1 Pb 0.274 0.274 0.000
Cl1 Cl 0.606 0.606 0.000
```



Arrangement ii

VASP calculation (PBEsol) on an optimized crystal structure of KPbCl.

The value obtained for the total magnetic moment is 0.00 μB per formula unit.

CIF file:
```
data_KPbCl
_chemical_formula_sum 'K1 Pb1 Cl1'
_space_group_name_H-M_alt 'P 1'
_space_group_IT_number 1
_cell_length_a 5.245
_cell_length_b 5.245
_cell_length_c 5.245
_cell_angle_alpha 60.00
_cell_angle_beta 60.00
_cell_angle_gamma 60.00
loop_
_space_group_symop_operation_xyz
'x,y,z'
loop_
_atom_site_label
_atom_site_type_symbol
_atom_site_fract_x
_atom_site_fract_y
_atom_site_fract_z
K1 K 0.000 0.000 0.000
Pb1 Pb 0.500 0.500 0.500
Cl1 Cl 0.250 0.250 0.250
```



Winner for stability: arrangement i



Arrangement i

VASP calculation (PBEsol) on an optimized crystal structure of KRbCl2.

The value obtained for the total magnetic moment is 0.00 μB per formula unit.

CIF file:
```
data_KRbCl2
_chemical_formula_sum 'K1 Rb1 Cl2'
_space_group_name_H-M_alt 'P 1'
_space_group_IT_number 1
_cell_length_a 7.831
_cell_length_b 7.831
_cell_length_c 7.831
_cell_angle_alpha 33.48
_cell_angle_beta 33.48
_cell_angle_gamma 33.48
loop_
_space_group_symop_operation_xyz
'x,y,z'
loop_
_atom_site_label
_atom_site_type_symbol
_atom_site_fract_x
_atom_site_fract_y
_atom_site_fract_z
K1 K 0.000 0.000 0.000
Rb1 Rb 0.500 0.500 0.500
Cl1 Cl 0.254 0.254 0.254
Cl2 Cl 0.746 0.746 0.746
```



Arrangement ii

VASP calculation (PBEsol) on an optimized crystal structure of KRbCl2.

The value obtained for the total magnetic moment is 0.06 μB per formula unit.

CIF file:
```
data_KRbCl2
_chemical_formula_sum 'K1 Rb1 Cl2'
_space_group_name_H-M_alt 'P 1'
_space_group_IT_number 1
_cell_length_a 5.401
_cell_length_b 5.401
_cell_length_c 3.819
_cell_angle_alpha 90.00
_cell_angle_beta 90.00
_cell_angle_gamma 90.00
loop_
_space_group_symop_operation_xyz
'x,y,z'
loop_
_atom_site_label
_atom_site_type_symbol
_atom_site_fract_x
_atom_site_fract_y
_atom_site_fract_z
K1 K 0.000 0.000 0.000
Rb1 Rb 0.500 0.500 0.000
Cl1 Cl 0.000 0.500 0.500
Cl2 Cl 0.500 0.000 0.500
```



Winner for stability: arrangement i



Arrangement i

VASP calculation (PBEsol) on an optimized crystal structure of KRh2Cl.

The value obtained for the total magnetic moment is 2.10 μB per formula unit.

CIF file:
```
data_KRh2Cl
_chemical_formula_sum 'K1 Rh2 Cl1'
_space_group_name_H-M_alt 'P 1'
_space_group_IT_number 1
_cell_length_a 4.585
_cell_length_b 4.585
_cell_length_c 4.585
_cell_angle_alpha 60.00
_cell_angle_beta 60.00
_cell_angle_gamma 60.00
loop_
_space_group_symop_operation_xyz
'x,y,z'
loop_
_atom_site_label
_atom_site_type_symbol
_atom_site_fract_x
_atom_site_fract_y
_atom_site_fract_z
K1 K 0.000 0.000 0.000
Rh1 Rh 0.250 0.250 0.250
Rh2 Rh 0.750 0.750 0.750
Cl1 Cl 0.500 0.500 0.500
```



Arrangement ii

VASP calculation (PBEsol) on an optimized crystal structure of KRh2Cl.

The value obtained for the total magnetic moment is 2.01 μB per formula unit.

CIF file:
```
data_KRh2Cl
_chemical_formula_sum 'K1 Rh2 Cl1'
_space_group_name_H-M_alt 'P 1'
_space_group_IT_number 1
_cell_length_a 6.245
_cell_length_b 6.245
_cell_length_c 6.245
_cell_angle_alpha 145.14
_cell_angle_beta 145.14
_cell_angle_gamma 50.12
loop_
_space_group_symop_operation_xyz
'x,y,z'
loop_
_atom_site_label
_atom_site_type_symbol
_atom_site_fract_x
_atom_site_fract_y
_atom_site_fract_z
K1 K 0.000 0.000 0.000
Rh1 Rh 0.250 0.750 0.500
Rh2 Rh 0.750 0.250 0.500
Cl1 Cl 0.500 0.500 0.000
```



Winner for stability: arrangement ii